VASP calculation (PBE-GGA) on Dy4MgRh after structural relaxation.

Lattice parameters (Å, degrees): 4.8018 4.8034 7.9710 89.98 89.98 90.00
Sites, in units of the cell vectors:
Dy: 0.5015 0.9976 0.7049
Dy: 0.5012 0.9969 0.2914
Dy: 0.0015 0.4976 0.7048
Dy: 0.0011 0.4969 0.2914
Mg: 0.5012 0.4974 0.9982
Rh: 0.0013 0.9973 0.4981

Calculated values
N(E_F)   5.6 states/eV/f.u.
Calculated formation energy   -9.40 kJ per mole of atoms
Polymorph energy (0 for the lowest one)   306 meV per atom
SG   P4/mmm (123)
V   30.641 Å³/atom



VASP calculation (PBE-GGA) on Dy6MgRh2 after structural relaxation.

Lattice parameters (Å, degrees): 8.5103 8.5103 8.5103 103.99 111.75 112.80
Sites, in units of the cell vectors:
Dy: 0.3081 0.9838 0.6757
Dy: 0.8001 0.2377 0.0378
Dy: 0.1999 0.2377 0.4375
Dy: 0.8001 0.7623 0.5625
Dy: 0.8953 0.7134 0.1819
Dy: 0.6919 0.3676 0.6757
Dy: 0.1047 0.2866 0.8181
Dy: 0.3081 0.6324 0.3243
Dy: 0.6919 0.0162 0.3243
Dy: 0.5316 0.7134 0.8181
Dy: 0.1999 0.7623 0.9622
Dy: 0.4684 0.2866 0.1819
Rh: 0.6739 0.0000 0.6739
Rh: 0.3261 0.0000 0.3261
Rh: 0.5000 0.6309 0.1309
Rh: 0.5000 0.3691 0.8691
Mg: 0.0000 0.5000 0.5000
Mg: 0.0000 0.0000 0.0000

Calculated values
N(E_F)   9.0 states/eV/f.u.
Calculated formation energy   -45.12 kJ per mole of atoms
SG   Immm (71)
V   26.179 Å³/atom



VASP calculation (PBE-GGA) on DyMg2Rh2 after structural relaxation.

Lattice parameters (Å, degrees): 4.6475 4.9795 8.3837 79.04 90.00 90.00
Sites, in units of the cell vectors:
Dy: 0.2500 0.6845 0.2148
Dy: 0.7500 0.3155 0.7852
Rh: 0.2500 0.5992 0.5694
Rh: 0.7500 0.7521 0.0005
Rh: 0.7500 0.4008 0.4306
Rh: 0.2500 0.2479 0.9995
Mg: 0.2500 0.8026 0.8331
Mg: 0.2500 0.1393 0.4633
Mg: 0.7500 0.1974 0.1669
Mg: 0.7500 0.8607 0.5367

Calculated values
N(E_F)   2.0 states/eV/f.u.
Calculated formation energy   -51.21 kJ per mole of atoms
Polymorph energy (0 for the lowest one)   0 meV per atom
SG   P2_1/m (11)
V   19.048 Å³/atom



VASP calculation (PBE-GGA) on Dy6Mg2Rh after structural relaxation.

Lattice parameters (Å, degrees): 4.9501 6.7670 8.4202 113.74 90.00 90.00
Sites, in units of the cell vectors:
Dy: 0.5000 0.2427 0.0001
Dy: 0.0000 0.8973 0.2923
Dy: 0.0000 0.3950 0.2922
Dy: 0.5000 0.7573 0.9999
Dy: 0.0000 0.1027 0.7077
Dy: 0.0000 0.6050 0.7078
Mg: 0.5000 0.7439 0.4879
Mg: 0.5000 0.2561 0.5121
Rh: 0.0000 0.0000 0.0000

Calculated values
N(E_F)   8.0 states/eV/f.u.
Calculated formation energy   -6.81 kJ per mole of atoms
SG   P2/m (10)
V   28.688 Å³/atom



VASP calculation (PBE-GGA) on DyMg3Rh4 after structural relaxation.

Lattice parameters (Å, degrees): 4.5125 6.4325 9.0278 90.00 90.00 90.00
Sites, in units of the cell vectors:
Dy: 0.0000 0.5000 0.0000
Dy: 0.0000 0.5000 0.5000
Rh: 0.0001 0.7613 0.2500
Rh: 0.9999 0.7613 0.7500
Rh: 0.5000 0.2386 0.0000
Rh: 0.5000 0.7614 0.5000
Rh: 0.0001 0.2387 0.2500
Rh: 0.5000 0.2386 0.5000
Rh: 0.5000 0.7614 0.0000
Rh: 0.9999 0.2387 0.7500
Mg: 0.0000 0.0000 0.5000
Mg: 0.5002 0.0000 0.2500
Mg: 0.5000 0.5000 0.2500
Mg: 0.0000 0.0000 0.0000
Mg: 0.4998 0.0000 0.7500
Mg: 0.5000 0.5000 0.7500

Calculated values
N(E_F)   3.7 states/eV/f.u.
Calculated formation energy   -58.45 kJ per mole of atoms
SG   P4/mmm (123)
V   16.378 Å³/atom



VASP calculation (PBE-GGA) on Dy4MgRh3 after structural relaxation.

Lattice parameters (Å, degrees): 5.8296 8.2295 8.2295 82.79 69.26 69.26
Sites, in units of the cell vectors:
Dy: 0.2178 0.7027 0.8617
Dy: 0.9205 0.8617 0.2973
Dy: 0.4205 0.2973 0.8617
Dy: 0.7178 0.8617 0.7027
Dy: 0.5795 0.7027 0.1383
Dy: 0.7822 0.2973 0.1383
Dy: 0.0795 0.1383 0.7027
Dy: 0.2822 0.1383 0.2973
Rh: 0.8381 0.5000 0.8238
Rh: 0.1619 0.5000 0.1762
Rh: 0.6619 0.1762 0.5000
Rh: 0.7500 0.0000 0.0000
Rh: 0.2500 0.0000 0.0000
Rh: 0.3381 0.8238 0.5000
Mg: 0.2500 0.5000 0.5000
Mg: 0.7500 0.5000 0.5000

Calculated values
N(E_F)   3.0 states/eV/f.u.
Calculated formation energy   -66.52 kJ per mole of atoms
SG   I4/mcm (140)
V   21.580 Å³/atom



VASP calculation (PBE-GGA) on Dy4Mg3Rh after structural relaxation.

Lattice parameters (Å, degrees): 3.5945 3.5945 15.6992 90.00 90.00 90.00
Sites, in units of the cell vectors:
Mg: 0.5000 0.5000 0.5000
Mg: 0.5000 0.5000 0.2407
Mg: 0.5000 0.5000 0.7593
Dy: 0.0000 0.0000 0.6279
Dy: 0.0000 0.0000 0.3721
Dy: 0.0000 0.0000 0.8985
Dy: 0.0000 0.0000 0.1015
Rh: 0.5000 0.5000 0.0000

Calculated values
N(E_F)   7.0 states/eV/f.u.
Calculated formation energy   -26.75 kJ per mole of atoms
SG   P4/mmm (123)
V   25.355 Å³/atom



VASP calculation (PBE-GGA) on DyMg11Rh after structural relaxation.

Lattice parameters (Å, degrees): 5.6500 7.6285 7.7141 82.33 68.52 68.62
Sites, in units of the cell vectors:
Mg: 0.5000 0.0000 0.5000
Mg: 0.0000 0.0000 0.5000
Mg: 0.3048 0.2187 0.2019
Mg: 0.5067 0.2187 0.7981
Mg: 0.3614 0.6389 0.6694
Mg: 0.6386 0.3611 0.3306
Mg: 0.6952 0.7813 0.7981
Mg: 0.0308 0.6389 0.3306
Mg: 0.0000 0.5000 0.0000
Mg: 0.4933 0.7813 0.2019
Mg: 0.9692 0.3611 0.6694
Rh: 0.5000 0.5000 0.0000
Dy: 0.0000 0.0000 0.0000

Calculated values
N(E_F)   7.0 states/eV/f.u.
Calculated formation energy   -11.34 kJ per mole of atoms
SG   C2/m (12)
V   22.162 Å³/atom



VASP calculation (PBE-GGA) on Dy3MgRh2 after structural relaxation.

Lattice parameters (Å, degrees): 6.5490 7.0532 8.1191 115.74 113.78 90.00
Sites, in units of the cell vectors:
Dy: 0.2207 0.4707 0.4413
Dy: 0.5000 0.7500 0.0000
Dy: 0.7793 0.0293 0.5587
Dy: 0.2207 0.9707 0.4413
Dy: 0.5000 0.2500 0.0000
Dy: 0.7793 0.5293 0.5587
Mg: 0.0000 0.5000 0.0000
Mg: 0.0000 0.0000 0.0000
Rh: 0.8434 0.1380 0.2760
Rh: 0.1566 0.8620 0.7240
Rh: 0.5674 0.3620 0.7240
Rh: 0.4326 0.6380 0.2760

Calculated values
N(E_F)   3.1 states/eV/f.u.
Calculated formation energy   -57.44 kJ per mole of atoms
SG   Ibam (72)
V   25.171 Å³/atom



VASP calculation (PBE-GGA) on Dy2Mg3Rh2 after structural relaxation.

Lattice parameters (Å, degrees): 4.1227 5.4964 7.2588 96.67 90.00 112.03
Sites, in units of the cell vectors:
Mg: 0.6874 0.3747 0.8635
Mg: 0.3126 0.6253 0.1365
Mg: 0.0000 0.0000 0.0000
Dy: 0.3744 0.7487 0.6285
Dy: 0.6256 0.2513 0.3715
Rh: 0.9059 0.8117 0.3434
Rh: 0.0941 0.1883 0.6566

Calculated values
N(E_F)   4.2 states/eV/f.u.
Calculated formation energy   -50.40 kJ per mole of atoms
SG   C2/m (12)
V   21.611 Å³/atom



VASP calculation (PBE-GGA) on Dy3MgRh4 after structural relaxation.

Lattice parameters (Å, degrees): 4.7420 4.7420 8.2288 73.25 73.25 60.00
Sites, in units of the cell vectors:
Rh: 0.1238 0.1238 0.6287
Rh: 0.3754 0.3754 0.8739
Rh: 0.6246 0.6246 0.1261
Rh: 0.8762 0.8762 0.3713
Dy: 0.2553 0.2553 0.2341
Dy: 0.5000 0.5000 0.5000
Dy: 0.7447 0.7447 0.7659
Mg: 0.0000 0.0000 0.0000

Calculated values
N(E_F)   2.2 states/eV/f.u.
Calculated formation energy   -78.14 kJ per mole of atoms
SG   R-3m (166)
V   18.890 Å³/atom



VASP calculation (PBE-GGA) on DyMg2Rh after structural relaxation.

Lattice parameters (Å, degrees): 5.4033 7.6391 8.3200 90.00 90.00 90.00
Sites, in units of the cell vectors:
Mg: 0.3933 0.1687 0.4442
Mg: 0.1067 0.6687 0.0558
Mg: 0.8933 0.3313 0.9442
Mg: 0.3933 0.1687 0.0558
Mg: 0.6067 0.8313 0.9442
Mg: 0.6067 0.8313 0.5558
Mg: 0.1067 0.6687 0.4442
Mg: 0.8933 0.3313 0.5558
Dy: 0.9038 0.0312 0.2500
Dy: 0.0962 0.9688 0.7500
Dy: 0.5962 0.5312 0.2500
Dy: 0.4038 0.4688 0.7500
Rh: 0.5999 0.1262 0.7500
Rh: 0.0999 0.3738 0.2500
Rh: 0.9001 0.6262 0.7500
Rh: 0.4001 0.8738 0.2500

Calculated values
N(E_F)   2.6 states/eV/f.u.
Calculated formation energy   -46.74 kJ per mole of atoms
SG   Pnma (62)
V   21.464 Å³/atom